1.
Sr3TlCd8 | PBE | optimized geometry

Properties
As for the energy: -1.48 eV/atom. The crystal system is trigonal. The value obtained for the energy above the most stable polymorph in this dataset is 0.004 eV/atom. The value obtained for the energy of formation is -0.257 eV per atom. As for the space group: R3m.

abc: 6.180 6.180 10.694
angles: 73.21 73.21 60.00
Sites, in units of the cell vectors:
Sr 0.376 0.376 0.871
Sr 0.994 0.994 0.018
Sr 0.504 0.504 0.487
Tl 0.872 0.872 0.383
Cd 0.939 0.438 0.185
Cd 0.437 0.938 0.687
Cd 0.438 0.438 0.185
Cd 0.938 0.938 0.687
Cd 0.188 0.188 0.435
Cd 0.687 0.687 0.938
Cd 0.438 0.939 0.185
Cd 0.938 0.437 0.687

***

2.
Sr2Tl4Cd | PBE | optimized geometry

Properties
As for the energy: -1.97 eV/atom. The crystal system is tetragonal. The value obtained for the energy of formation is -0.007 eV per atom. As for the space group: I4/mmm.

abc: 5.522 5.522 9.588
angles: 106.74 106.74 90.00
Sites, in units of the cell vectors:
Sr 0.637 0.637 0.274
Sr 0.363 0.363 0.726
Tl 0.828 0.828 0.656
Tl 0.172 0.172 0.344
Tl 0.000 0.500 0.000
Tl 0.500 0.000 0.000
Cd 0.000 0.000 0.000

***

3.
SrTl3Cd3 | PBE | optimized geometry

Properties
As for the energy: -1.47 eV/atom. The crystal system is cubic. The value obtained for the energy above the most stable polymorph in this dataset is 0.275 eV/atom. The value obtained for the energy of formation is 0.179 eV per atom. As for the space group: Pm-3n.

abc: 8.107 8.107 8.107
angles: 90.00 90.00 90.00
Sites, in units of the cell vectors:
Sr 0.500 0.500 0.500
Sr 0.000 0.000 0.000
Tl 0.250 0.000 0.500
Tl 0.000 0.500 0.250
Tl 0.500 0.750 0.000
Tl 0.750 0.000 0.500
Tl 0.000 0.500 0.750
Tl 0.500 0.250 0.000
Cd 0.000 0.250 0.500
Cd 0.000 0.750 0.500
Cd 0.500 0.000 0.750
Cd 0.750 0.500 0.000
Cd 0.500 0.000 0.250
Cd 0.250 0.500 0.000

***

4.
SrTlCd4 | PBE | optimized geometry

Properties
As for the energy: -1.48 eV/atom. The crystal system is cubic. The value obtained for the energy of formation is -0.194 eV per atom. As for the space group: F-43m.

abc: 6.138 6.138 6.138
angles: 60.00 60.00 60.00
Sites, in units of the cell vectors:
Cd 0.125 0.625 0.625
Cd 0.625 0.625 0.625
Cd 0.625 0.125 0.625
Cd 0.625 0.625 0.125
Sr 0.250 0.250 0.250
Tl 0.000 0.000 0.000

***

5.
SrTlCd3 | PBE | optimized geometry

Properties
As for the energy: -0.82 eV/atom. The crystal system is cubic. The value obtained for the energy above the most stable polymorph in this dataset is 0.736 eV/atom. The value obtained for the energy of formation is 0.534 eV per atom. As for the space group: Pm-3m.

abc: 6.268 6.268 6.268
angles: 90.00 90.00 90.00
Sites, in units of the cell vectors:
Sr 0.000 0.000 0.000
Tl 0.500 0.500 0.500
Cd 0.000 0.500 0.000
Cd 0.000 0.000 0.500
Cd 0.500 0.000 0.000

***

6.
SrTl2Cd2 | PBE | optimized geometry

Properties
As for the energy: -1.77 eV/atom. The crystal system is tetragonal. The value obtained for the energy above the most stable polymorph in this dataset is 0.080 eV/atom. The value obtained for the energy of formation is -0.116 eV per atom. As for the space group: P4/mbm.

abc: 8.817 8.817 3.860
angles: 90.00 90.00 90.00
Sites, in units of the cell vectors:
Sr 0.000 0.000 0.000
Sr 0.500 0.500 0.000
Tl 0.366 0.866 0.000
Tl 0.866 0.634 0.000
Tl 0.634 0.134 0.000
Tl 0.134 0.366 0.000
Cd 0.162 0.662 0.500
Cd 0.662 0.838 0.500
Cd 0.838 0.338 0.500
Cd 0.338 0.162 0.500